(1)
VASP calculation (PBEsol) on a relaxed Na2B29 crystal.

a b c (Å): 5.789 10.286 8.284
angles (deg): 90.00 90.00 90.00
Space group Imm2 (No. 44)
Symmetry-distinct sites (fractional):
Na1 0.000 0.000 0.000 x2
Na2 0.000 0.500 0.303 x2
B1 0.000 0.084 0.680 x4
B2 0.000 0.127 0.278 x4
B3 0.000 0.153 0.480 x4
B4 0.000 0.343 0.804 x4
B5 0.000 0.403 0.027 x4
B6 0.000 0.416 0.606 x4
B7 0.000 0.500 0.876 x2
B8 0.161 0.304 0.480 x8
B9 0.162 0.195 0.808 x8
B10 0.248 0.170 0.603 x8
B11 0.248 0.330 0.684 x8

Computed properties:
E_tot (eV/atom): -6.658
DOS at the Fermi energy (states/eV/atom): 0.1112

=====

(2)
VASP calculation (PBEsol) on a relaxed Na2ScNbB crystal.

a b c (Å): 4.729 4.729 4.531
angles (deg): 90.00 90.00 90.00
Space group P4/mmm (No. 123)
Symmetry-distinct sites (fractional):
Na1 0.000 0.500 0.000 x2
Sc1 0.000 0.000 0.500 x1
Nb1 0.500 0.500 0.500 x1
B1 0.500 0.500 0.000 x1

Computed properties:
E_tot (eV/atom): -4.512
DOS at the Fermi energy (states/eV/atom): 1.1099

=====

(3)
VASP calculation (PBEsol) on a relaxed Na3NdB2O6 crystal.

a b c (Å): 6.604 8.750 12.049
angles (deg): 90.00 122.54 90.00
Space group P2_1/c (No. 14)
Symmetry-distinct sites (fractional):
Na1 0.080 0.185 0.105 x4
Na2 0.084 0.060 0.391 x4
Na3 0.325 0.732 0.844 x4
Nd1 0.488 0.615 0.645 x4
B1 0.083 0.101 0.862 x4
B2 0.367 0.569 0.126 x4
O1 0.115 0.602 0.629 x4
O2 0.124 0.217 0.798 x4
O3 0.250 0.519 0.414 x4
O4 0.289 0.079 0.618 x4
O5 0.315 0.653 0.017 x4
O6 0.495 0.638 0.250 x4

Computed properties:
Raw formation energy (eV/atom): -2.464
E_tot (eV/atom): -7.039
DOS at the Fermi energy (states/eV/atom): 0.0000